Below is an optimized crystal structure of HfSnPO, with properties calculated at the PBE-GGA level.

Crystal system: orthorhombic
Calculated volume (Å³/cell): 163.4
Symmetry: Pmc2_1, No. 26

abc: 3.830 8.006 5.330
angles: 90.00 90.00 90.00
Positions (direct):
Hf  0.000  0.139  0.000
Hf  0.000  0.861  0.500
Sn  0.500  0.407  0.538
Sn  0.500  0.593  0.038
P  0.000  0.184  0.496
P  0.000  0.816  0.996
O  0.500  0.205  0.996
O  0.500  0.795  0.496

---

Below is an optimized crystal structure of HfSnPO, with properties calculated at the PBE-GGA level.

Crystal system: orthorhombic
Calculated volume (Å³/cell): 191.0
Symmetry: Pmc2_1, No. 26

abc: 3.864 7.930 6.233
angles: 90.00 90.00 90.00
Positions (direct):
Hf  0.000  0.145  0.000
Hf  0.000  0.855  0.500
Sn  0.500  0.323  0.547
Sn  0.500  0.677  0.047
P  0.500  0.347  0.985
P  0.500  0.653  0.485
O  0.000  0.010  0.260
O  0.000  0.990  0.760

---

Below is an optimized crystal structure of HfSnPO, with properties calculated at the PBE-GGA level.

Crystal system: tetragonal
Calculated volume (Å³/cell): 141.2
Symmetry: P4/nmm, No. 129

abc: 3.747 3.747 10.054
angles: 90.00 90.00 90.00
Positions (direct):
Hf  0.250  0.250  0.115
Hf  0.750  0.750  0.885
Sn  0.250  0.750  0.500
Sn  0.750  0.250  0.500
P  0.250  0.250  0.754
P  0.750  0.750  0.246
O  0.250  0.750  0.000
O  0.750  0.250  0.000

---

Below is an optimized crystal structure of HfTcPO, with properties calculated at the PBE-GGA level.

Crystal system: orthorhombic
Calculated volume (Å³/cell): 109.2
Symmetry: Pmc2_1, No. 26

abc: 4.294 4.365 5.828
angles: 90.00 90.00 90.00
Positions (direct):
Hf  0.000  0.189  0.000
Hf  0.000  0.811  0.500
Tc  0.500  0.377  0.346
Tc  0.500  0.623  0.846
P  0.500  0.128  0.701
P  0.500  0.872  0.201
O  0.000  0.339  0.351
O  0.000  0.661  0.851

---

Below is an optimized crystal structure of HfTcPO, with properties calculated at the PBE-GGA level.

Crystal system: tetragonal
Calculated volume (Å³/cell): 108.6
Symmetry: P4/nmm, No. 129

abc: 3.998 3.998 6.796
angles: 90.00 90.00 90.00
Positions (direct):
Hf  0.250  0.250  0.135
Hf  0.750  0.750  0.865
Tc  0.250  0.750  0.500
Tc  0.750  0.250  0.500
P  0.250  0.250  0.682
P  0.750  0.750  0.318
O  0.250  0.750  0.000
O  0.750  0.250  0.000

---

Below is an optimized crystal structure of HfTcPO, with properties calculated at the PBE-GGA level.

Crystal system: orthorhombic
Calculated volume (Å³/cell): 117.7
Symmetry: Pmc2_1, No. 26

abc: 4.070 5.439 5.318
angles: 90.00 90.00 90.00
Positions (direct):
Hf  0.000  0.203  0.000
Hf  0.000  0.797  0.500
Tc  0.500  0.498  0.253
Tc  0.500  0.502  0.753
P  0.000  0.295  0.500
P  0.000  0.705  0.000
O  0.500  0.185  0.003
O  0.500  0.815  0.503

---

Below is an optimized crystal structure of HfTcPO, with properties calculated at the PBE-GGA level.

Crystal system: tetragonal
Calculated volume (Å³/cell): 56.8
Symmetry: P4/mmm, No. 123

abc: 3.556 3.556 4.494
angles: 90.00 90.00 90.00
Positions (direct):
Hf  0.000  0.000  0.000
Tc  0.500  0.500  0.500
P  0.500  0.500  0.000
O  0.000  0.000  0.500

---

Below is an optimized crystal structure of HfTlPO, with properties calculated at the PBE-GGA level.

Crystal system: tetragonal
Calculated volume (Å³/cell): 152.4
Symmetry: P4/nmm, No. 129

abc: 4.465 4.465 7.644
angles: 90.00 90.00 90.00
Positions (direct):
Hf  0.250  0.750  0.000
Hf  0.750  0.250  0.000
Tl  0.250  0.250  0.378
Tl  0.750  0.750  0.622
P  0.250  0.250  0.841
P  0.750  0.750  0.159
O  0.250  0.750  0.500
O  0.750  0.250  0.500

---

Below is an optimized crystal structure of HfTlPO, with properties calculated at the PBE-GGA level.

Crystal system: tetragonal
Calculated volume (Å³/cell): 146.2
Symmetry: P4/nmm, No. 129

abc: 3.799 3.799 10.127
angles: 90.00 90.00 90.00
Positions (direct):
Hf  0.250  0.250  0.111
Hf  0.750  0.750  0.889
Tl  0.250  0.750  0.500
Tl  0.750  0.250  0.500
P  0.250  0.250  0.761
P  0.750  0.750  0.239
O  0.250  0.750  0.000
O  0.750  0.250  0.000

---

Below is an optimized crystal structure of HfTlPO, with properties calculated at the PBE-GGA level.

Crystal system: orthorhombic
Calculated volume (Å³/cell): 171.8
Symmetry: Pmc2_1, No. 26

abc: 3.686 8.790 5.303
angles: 90.00 90.00 90.00
Positions (direct):
Hf  0.000  0.145  0.000
Hf  0.000  0.855  0.500
Tl  0.500  0.384  0.505
Tl  0.500  0.616  0.005
P  0.000  0.140  0.500
P  0.000  0.860  0.000
O  0.500  0.237  0.000
O  0.500  0.763  0.500

---

Below is an optimized crystal structure of HfTlPO, with properties calculated at the PBE-GGA level.

Crystal system: orthorhombic
Calculated volume (Å³/cell): 202.3
Symmetry: Pmc2_1, No. 26

abc: 4.015 7.687 6.554
angles: 90.00 90.00 90.00
Positions (direct):
Hf  0.000  0.139  0.000
Hf  0.000  0.861  0.500
Tl  0.500  0.293  0.515
Tl  0.500  0.707  0.015
P  0.500  0.332  0.988
P  0.500  0.668  0.488
O  0.000  0.001  0.251
O  0.000  0.999  0.751

---

Below is an optimized crystal structure of YHfPO, with properties calculated at the PBE-GGA level.

Crystal system: tetragonal
Calculated volume (Å³/cell): 144.8
Symmetry: P4/nmm, No. 129

abc: 4.128 4.128 8.495
angles: 90.00 90.00 90.00
Positions (direct):
Y  0.250  0.250  0.118
Y  0.750  0.750  0.882
Hf  0.250  0.750  0.500
Hf  0.750  0.250  0.500
P  0.250  0.250  0.683
P  0.750  0.750  0.317
O  0.250  0.750  0.000
O  0.750  0.250  0.000

---

Final energy (eV per atom)
-7.37, -7.33, -7.21, -8.95, -9.25, -8.95, -8.39, -6.21, -6.70, -6.98, -6.99, -8.67